1.
# CeCd2Sb GGA-PBE relaxed
data_CeCd2Sb
_chemical_formula_sum 'Ce3 Cd6 Sb3'
_symmetry_space_group_name_H-M 'R -3 m'
_symmetry_Int_Tables_number 166
_symmetry_space_group_name_Hall '-R 3 2"'
_cell_length_a 3.2519
_cell_length_b 3.2519
_cell_length_c 35.6027
_cell_angle_alpha 90.00
_cell_angle_beta 90.00
_cell_angle_gamma 120.00
loop_
_atom_site_label
_atom_site_type_symbol
_atom_site_fract_x
_atom_site_fract_y
_atom_site_fract_z
Ce1 Ce 0.0000 0.0000 0.0000
Cd1 Cd 0.0000 0.0000 0.0900
Sb1 Sb 0.0000 0.0000 0.5000
# - Total moment: 1.03 μB per formula unit
# - Crystal system: trigonal
# - Uncorrected formation energy: 0.2120 eV per atom



2.
# Ce2CdSb GGA-PBE relaxed
data_Ce2CdSb
_chemical_formula_sum 'Ce8 Cd4 Sb4'
_symmetry_space_group_name_H-M 'F m -3 m'
_symmetry_Int_Tables_number 225
_symmetry_space_group_name_Hall '-F 4 2 3'
_cell_length_a 7.6583
_cell_length_b 7.6583
_cell_length_c 7.6583
_cell_angle_alpha 90.00
_cell_angle_beta 90.00
_cell_angle_gamma 90.00
loop_
_atom_site_label
_atom_site_type_symbol
_atom_site_fract_x
_atom_site_fract_y
_atom_site_fract_z
Ce1 Ce 0.2500 0.2500 0.2500
Cd1 Cd 0.0000 0.0000 0.0000
Sb1 Sb 0.0000 0.0000 0.5000
# - Total moment: 2.81 μB per formula unit
# - Crystal system: cubic
# - Uncorrected formation energy: -0.4707 eV per atom
# - Energy above the most stable polymorph in this dataset: 60 meV per atom



3.
# Ce2Cd2Sb GGA-PBE relaxed
data_Ce2Cd2Sb
_chemical_formula_sum 'Ce4 Cd4 Sb2'
_symmetry_space_group_name_H-M 'I 4/m m m'
_symmetry_Int_Tables_number 139
_symmetry_space_group_name_Hall '-I 4 2'
_cell_length_a 4.1829
_cell_length_b 4.1829
_cell_length_c 16.4563
_cell_angle_alpha 90.00
_cell_angle_beta 90.00
_cell_angle_gamma 90.00
loop_
_atom_site_label
_atom_site_type_symbol
_atom_site_fract_x
_atom_site_fract_y
_atom_site_fract_z
Ce1 Ce 0.0000 0.0000 0.0839
Cd1 Cd 0.0000 0.5000 0.2500
Sb1 Sb 0.0000 0.0000 0.5000
# - Total moment: 2.70 μB per formula unit
# - Crystal system: tetragonal
# - Uncorrected formation energy: -0.3258 eV per atom



4.
# Ce2CdSb GGA-PBE relaxed
data_Ce2CdSb
_chemical_formula_sum 'Ce6 Cd3 Sb3'
_symmetry_space_group_name_H-M 'R -3 m'
_symmetry_Int_Tables_number 166
_symmetry_space_group_name_Hall '-R 3 2"'
_cell_length_a 4.3426
_cell_length_b 4.3426
_cell_length_c 24.0344
_cell_angle_alpha 90.00
_cell_angle_beta 90.00
_cell_angle_gamma 120.00
loop_
_atom_site_label
_atom_site_type_symbol
_atom_site_fract_x
_atom_site_fract_y
_atom_site_fract_z
Ce1 Ce 0.0000 0.0000 0.2443
Cd1 Cd 0.0000 0.0000 0.0000
Sb1 Sb 0.0000 0.0000 0.5000
# - Total moment: 2.19 μB per formula unit
# - Crystal system: trigonal
# - Uncorrected formation energy: -0.3878 eV per atom
# - Energy above the most stable polymorph in this dataset: 143 meV per atom



5.
# Ce2CdSb4 GGA-PBE relaxed
data_Ce2CdSb4
_chemical_formula_sum 'Ce2 Cd1 Sb4'
_symmetry_space_group_name_H-M 'P -4 m 2'
_symmetry_Int_Tables_number 115
_cell_length_a 4.3826
_cell_length_b 4.3826
_cell_length_c 10.6024
_cell_angle_alpha 90.00
_cell_angle_beta 90.00
_cell_angle_gamma 90.00
loop_
_symmetry_equiv_pos_as_xyz
'x,y,z'
'y,-x,-z'
'-x,-y,z'
'-y,x,-z'
'-x,y,z'
'-y,-x,-z'
'x,-y,z'
'y,x,-z'
loop_
_atom_site_label
_atom_site_type_symbol
_atom_site_fract_x
_atom_site_fract_y
_atom_site_fract_z
Ce1 Ce 0.0000 0.5000 0.2339
Cd1 Cd 0.5000 0.5000 0.5000
Sb1 Sb 0.0000 0.0000 0.0000
Sb2 Sb 0.0000 0.5000 0.6797
Sb3 Sb 0.5000 0.5000 0.0000
# - Total moment: 1.35 μB per formula unit
# - Crystal system: tetragonal
# - Uncorrected formation energy: -0.6820 eV per atom



6.
# Sr2CeCd2Sb4 GGA-PBE relaxed
data_Sr2CeCd2Sb4
_chemical_formula_sum 'Sr4 Ce2 Cd4 Sb8'
_symmetry_space_group_name_H-M 'C 1 2/m 1'
_symmetry_Int_Tables_number 12
_cell_length_a 16.5864
_cell_length_b 4.6071
_cell_length_c 7.9205
_cell_angle_alpha 90.00
_cell_angle_beta 111.28
_cell_angle_gamma 90.00
loop_
_symmetry_equiv_pos_as_xyz
'x,y,z'
'-x,-y,-z'
'-x,y,-z'
'x,-y,z'
'x+1/2,y+1/2,z'
'-x+1/2,-y+1/2,-z'
'-x+1/2,y+1/2,-z'
'x+1/2,-y+1/2,z'
loop_
_atom_site_label
_atom_site_type_symbol
_atom_site_fract_x
_atom_site_fract_y
_atom_site_fract_z
Sr1 Sr 0.1305 0.0000 0.0843
Ce1 Ce 0.0000 0.0000 0.5000
Cd1 Cd 0.1726 0.5000 0.4910
Sb1 Sb 0.9997 0.5000 0.2281
Sb2 Sb 0.2073 0.0000 0.7281
# - Total moment: 0.34 μB per formula unit
# - Crystal system: monoclinic
# - Uncorrected formation energy: -0.7340 eV per atom



7.
# CeSc2Cd3 GGA-PBE relaxed
data_CeSc2Cd3
_chemical_formula_sum 'Ce1 Sc2 Cd3'
_symmetry_space_group_name_H-M 'P 4/m m m'
_symmetry_Int_Tables_number 123
_symmetry_space_group_name_Hall '-P 4 2'
_cell_length_a 3.4154
_cell_length_b 3.4154
_cell_length_c 12.1603
_cell_angle_alpha 90.00
_cell_angle_beta 90.00
_cell_angle_gamma 90.00
loop_
_atom_site_label
_atom_site_type_symbol
_atom_site_fract_x
_atom_site_fract_y
_atom_site_fract_z
Ce1 Ce 0.0000 0.0000 0.0000
Sc1 Sc 0.0000 0.0000 0.3471
Cd1 Cd 0.5000 0.5000 0.1926
Cd2 Cd 0.5000 0.5000 0.5000
# - Total moment: 1.08 μB per formula unit
# - Crystal system: tetragonal
# - Calculated formation energy: -236 meV/atom



8.
# CeSc5Cd6 GGA-PBE relaxed
data_CeSc5Cd6
_chemical_formula_sum 'Ce2 Sc10 Cd12'
_symmetry_space_group_name_H-M 'I m m m'
_symmetry_Int_Tables_number 71
_symmetry_space_group_name_Hall '-I 2 2'
_cell_length_a 5.0206
_cell_length_b 7.3539
_cell_length_c 15.0402
_cell_angle_alpha 90.00
_cell_angle_beta 90.00
_cell_angle_gamma 90.00
loop_
_atom_site_label
_atom_site_type_symbol
_atom_site_fract_x
_atom_site_fract_y
_atom_site_fract_z
Ce1 Ce 0.0000 0.0000 0.0000
Sc1 Sc 0.0000 0.0000 0.3293
Sc2 Sc 0.0000 0.5000 0.0000
Sc3 Sc 0.0000 0.5000 0.3415
Cd1 Cd 0.0000 0.2228 0.5000
Cd2 Cd 0.0000 0.2656 0.1732
# - Total moment: 2.11 μB per formula unit
# - Crystal system: orthorhombic
# - Calculated formation energy: -237 meV/atom